4
Lattice="3.408 0.000 0.000 0.000 3.607 0.000 -0.390 0.000 6.160" Properties=species:S:1:pos:R:3 comment="LaAgRh2 (PBE-GGA, optimized geometry)" magmom_total_mub_per_fu=0.0 spacegroup="P2/m, No. 10" e_form_ev_per_atom=-0.19 pbc="T T T"
La 0.000 0.000 0.000
Ag -0.195 0.000 3.080
Rh 1.527 1.803 1.598
Rh 1.490 1.803 4.562

---

18
Lattice="-5.040 5.179 5.217 5.040 -5.179 5.217 5.040 5.179 -5.217" Properties=species:S:1:pos:R:3 comment="La6Ag2Rh (PBE-GGA, optimized geometry)" magmom_total_mub_per_fu=0.0 spacegroup="Immm, No. 71" e_form_ev_per_atom=-0.24 pbc="T T T"
La 5.040 3.543 -2.654
La 2.754 1.875 0.000
La 7.325 1.875 0.000
La 3.438 0.000 2.919
La 6.641 0.000 2.919
La 0.000 1.636 2.563
La 5.040 3.543 2.654
La -1.602 5.179 2.299
La 1.602 5.179 2.299
La -2.286 3.305 5.217
La 2.286 3.305 5.217
La 0.000 1.636 7.872
Ag 0.000 3.639 0.000
Ag 3.667 5.179 0.000
Ag 1.372 0.000 5.217
Ag 0.000 6.720 0.000
Rh 0.000 0.000 0.000
Rh 5.040 0.000 0.000

---

4
Lattice="3.197 0.000 0.000 0.000 4.081 0.000 0.000 0.000 5.910" Properties=species:S:1:pos:R:3 comment="LaAgRh2 (PBE-GGA, optimized geometry)" magmom_total_mub_per_fu=0.0 spacegroup="Pmm2, No. 25" e_form_ev_per_atom=-0.10 pbc="T T T"
La 0.000 0.000 0.000
Ag 1.598 2.040 4.057
Rh 0.000 0.000 2.745
Rh 1.598 2.040 1.378

---

10
Lattice="2.380 -5.844 0.000 2.380 5.844 0.000 0.000 0.000 10.596" Properties=species:S:1:pos:R:3 comment="La3AgRh (PBE-GGA, optimized geometry)" magmom_total_mub_per_fu=0.0 spacegroup="Cmcm, No. 63" e_form_ev_per_atom=-0.43 pbc="T T T"
La 2.380 5.036 7.947
La 2.380 1.726 5.743
La 2.380 1.726 10.151
La 2.380 -1.726 0.445
La 2.380 -1.726 4.853
La 2.380 -5.036 2.649
Ag 2.380 3.188 2.649
Ag 2.380 -3.188 7.947
Rh 0.000 0.000 0.000
Rh 0.000 0.000 5.298

---

3
Lattice="0.000 3.345 3.345 3.345 0.000 3.345 3.345 3.345 0.000" Properties=species:S:1:pos:R:3 comment="LaAgRh (PBE-GGA, optimized geometry)" magmom_total_mub_per_fu=0.0 spacegroup="F-43m, No. 216" e_form_ev_per_atom=-0.30 pbc="T T T"
La 0.000 0.000 0.000
Ag 3.345 3.345 3.345
Rh 1.672 1.672 1.672

---

5
Lattice="4.846 0.000 0.000 0.000 4.846 0.000 0.000 0.000 4.846" Properties=species:S:1:pos:R:3 comment="LaAgRh3 (PBE-GGA, optimized geometry)" magmom_total_mub_per_fu=0.5 spacegroup="Pm-3m, No. 221" e_form_ev_per_atom=0.70 pbc="T T T"
La 0.000 0.000 0.000
Ag 2.423 2.423 2.423
Rh 0.000 2.423 2.423
Rh 2.423 0.000 2.423
Rh 2.423 2.423 0.000

---

13
Lattice="8.685 0.000 0.000 0.000 4.861 0.000 -2.074 0.000 9.671" Properties=species:S:1:pos:R:3 comment="La8Ag2Rh3 (PBE-GGA, optimized geometry)" magmom_total_mub_per_fu=0.0 spacegroup="P2/m, No. 10" e_form_ev_per_atom=-0.38 pbc="T T T"
La -0.375 0.000 3.210
La -0.496 2.431 8.858
La 1.541 2.431 5.853
La 3.196 0.000 1.419
La 3.415 0.000 8.252
La 5.070 2.431 3.818
La 7.106 2.431 0.813
La 6.986 0.000 6.461
Ag 1.524 2.431 2.536
Ag 5.087 2.431 7.135
Rh -1.037 2.431 4.836
Rh 0.791 0.000 7.841
Rh 5.819 0.000 1.830

---

24
Lattice="0.000 8.022 9.000 4.137 0.000 9.000 4.137 8.022 0.000" Properties=species:S:1:pos:R:3 comment="La2Ag3Rh (PBE-GGA, optimized geometry)" magmom_total_mub_per_fu=0.0 spacegroup="Fddd, No. 70" e_form_ev_per_atom=-0.36 pbc="T T T"
La 3.103 0.051 6.750
La 3.103 3.716 6.750
La 5.172 4.062 11.250
La 5.172 7.727 11.250
La 3.103 8.318 6.750
La 3.103 11.982 6.750
La 5.172 12.329 11.250
La 5.172 15.994 11.250
Ag 3.103 6.017 0.366
Ag 4.759 6.030 5.313
Ag 4.759 6.004 8.187
Ag 5.172 10.028 4.866
Ag 6.828 10.015 9.813
Ag 1.447 6.004 5.313
Ag 6.828 10.041 12.686
Ag 1.447 6.030 8.187
Ag 3.103 6.017 13.134
Ag 3.516 10.041 9.813
Ag 3.516 10.015 12.686
Ag 5.172 10.028 17.634
Rh 3.103 6.017 3.087
Rh 5.172 10.028 7.586
Rh 3.103 6.017 10.413
Rh 5.172 10.028 14.913

---

4
Lattice="0.000 3.482 3.482 3.482 0.000 3.482 3.482 3.482 0.000" Properties=species:S:1:pos:R:3 comment="LaAg2Rh (PBE-GGA, optimized geometry)" magmom_total_mub_per_fu=0.0 spacegroup="F-43m, No. 216" e_form_ev_per_atom=-0.18 pbc="T T T"
La 0.000 0.000 0.000
Ag 3.482 3.482 3.482
Ag 5.223 5.223 5.223
Rh 1.741 1.741 1.741

---

19
Lattice="6.181 3.569 4.548 -6.181 3.569 4.548 0.000 -7.137 4.548" Properties=species:S:1:pos:R:3 comment="La12Ag6Rh (PBE-GGA, optimized geometry)" magmom_total_mub_per_fu=0.0 spacegroup="R-3, No. 148" e_form_ev_per_atom=-0.15 pbc="T T T"
La -5.486 -1.479 7.550
La -1.463 -5.490 6.094
La -1.459 -1.680 5.095
La -4.024 4.012 6.094
La -0.725 2.103 5.095
La -2.184 0.424 8.549
La 2.184 -0.424 5.095
La 0.725 -2.103 8.549
La 4.024 -4.012 7.550
La 1.459 1.680 8.549
La 1.463 5.490 7.550
La 5.486 1.479 6.094
Ag -3.733 0.742 5.788
Ag -2.509 -2.862 7.855
Ag 1.224 -3.604 5.788
Ag -1.224 3.604 7.855
Ag 2.509 2.862 5.788
Ag 3.733 -0.742 7.855
Rh 0.000 0.000 6.822

---

8
Lattice="-2.150 2.150 9.192 2.150 -2.150 9.192 2.150 2.150 -9.192" Properties=species:S:1:pos:R:3 comment="LaAgRh2 (PBE-GGA, optimized geometry)" magmom_total_mub_per_fu=0.0 spacegroup="I-42d, No. 122" e_form_ev_per_atom=0.00 pbc="T T T"
La 0.000 0.000 0.000
La 0.000 2.150 4.596
Ag 2.150 0.000 4.596
Ag 0.000 0.000 9.192
Rh 1.075 -0.841 6.894
Rh 1.309 1.075 2.298
Rh 1.075 2.992 -2.298
Rh 0.841 1.075 11.490

---

16
Lattice="8.609 0.000 0.000 -4.304 7.456 0.000 0.000 0.000 5.695" Properties=species:S:1:pos:R:3 comment="La3Ag2Rh3 (PBE-GGA, optimized geometry)" magmom_total_mub_per_fu=0.0 spacegroup="P6_3/mcm, No. 193" e_form_ev_per_atom=-0.48 pbc="T T T"
La -1.253 2.170 1.424
La -3.051 5.285 4.272
La 2.506 0.000 1.424
La 1.253 2.170 4.272
La 6.103 0.000 4.272
La 3.051 5.285 1.424
Ag 0.000 4.970 0.000
Ag 0.000 4.970 2.848
Ag 4.304 2.485 0.000
Ag 4.304 2.485 2.848
Rh -1.625 2.815 4.272
Rh -2.679 4.640 1.424
Rh 3.251 0.000 4.272
Rh 1.625 2.815 1.424
Rh 5.358 0.000 1.424
Rh 2.679 4.640 4.272